[1]
The following is a PBE calculation of a relaxed LiTmPd2 crystal, from the Alexandria database.

Output
ρ = 9084 kg/m3
Total DFT energy (no corrections) = -19.7 eV per formula unit
Formation energy = -2.924 eV per formula unit

Cell: 4.6491 4.6491 4.6491 Å, 60.00 60.00 60.00°
Element x y z (fractional)
1 Li 0.0000 0.0000 0.0000
2 Pd 0.2500 0.2500 0.2500
3 Pd 0.7500 0.7500 0.7500
4 Tm 0.5000 0.5000 0.5000



[2]
The following is a PBE calculation of a relaxed Li2TmPd3 crystal, from the Alexandria database.

Output
ρ = 8669 kg/m3
Total DFT energy (no corrections) = -27.8 eV per formula unit
Formation energy = -3.918 eV per formula unit

Cell: 4.3590 6.8871 6.7528 Å, 90.00 90.00 71.59°
Element x y z (fractional)
1 Pd 0.8349 0.3298 0.7306
2 Pd 0.1651 0.6702 0.2694
3 Pd 0.5000 0.0000 0.7193
4 Pd 0.8349 0.3298 0.2694
5 Pd 0.1651 0.6702 0.7306
6 Pd 0.5000 0.0000 0.2807
7 Tm 0.3457 0.3076 0.0000
8 Tm 0.6543 0.6924 0.0000
9 Li 0.3292 0.3408 0.5000
10 Li 0.6708 0.6592 0.5000
11 Li 0.0000 0.0000 0.5000
12 Li 0.0000 0.0000 0.0000



[3]
The following is a PBE calculation of a relaxed LiTmPd5 crystal, from the Alexandria database.

Output
ρ = 10097 kg/m3
Total DFT energy (no corrections) = -35.8 eV per formula unit
Formation energy = -3.414 eV per formula unit

Cell: 4.1412 4.1412 6.7890 Å, 90.00 90.00 90.00°
Element x y z (fractional)
1 Pd 0.5000 0.5000 0.5000
2 Pd 0.5000 0.0000 0.2098
3 Pd 0.0000 0.5000 0.7902
4 Pd 0.0000 0.5000 0.2098
5 Pd 0.5000 0.0000 0.7902
6 Tm 0.0000 0.0000 0.5000
7 Li 0.5000 0.5000 0.0000



no.,ΔE to the lowest computed polymorph (meV per atom)
1,30
2,0
3,0